CdBiAuO4 | PBE-GGA | relaxed

Cell: 6.4874 6.9554 7.2020 Å, 121.18 90.00 117.80°
Last column: nearest neighbours and their distance in Å.
Atoms (fractional coordinates):
Cd: 0.8067 0.6134 0.0567  4 O 2.21-2.44
O: 0.6302 0.8431 0.1716  1 Cd 2.21, 2 Bi 2.38
Bi: 0.5000 0.0000 0.0000  6 O 2.37-2.38
O: 0.2680 0.5360 0.3404  2 Au 2.07
O: 0.7320 0.4640 0.6596  2 Au 2.07
Bi: 0.5000 0.0000 0.5000  6 O 2.37-2.38
Au: 0.5000 0.5000 0.5000  4 O 2.07
O: 0.7871 0.1569 0.8284  1 Cd 2.21, 2 Bi 2.38
Cd: 0.1933 0.3866 0.9433  4 O 2.21-2.44
O: 0.7320 0.4640 0.3044  2 Au 2.07
Au: 0.0000 0.5000 0.5000  4 O 2.07
O: 0.2680 0.5360 0.6956  2 Au 2.07
O: 0.2129 0.8431 0.1716  1 Cd 2.21, 2 Bi 2.38
O: 0.3698 0.1569 0.8284  1 Cd 2.21, 2 Bi 2.38


Ce2MgIn8 | PBE-GGA | relaxed

Cell: 4.8683 4.8683 12.2595 Å, 90.00 90.00 90.00°
Last column: nearest neighbours and their distance in Å.
Atoms (fractional coordinates):
In: 0.5000 0.5000 0.3135  8 In 3.29-3.34, 4 Ce 3.44
Ce: 0.0000 0.0000 0.6876  12 In 3.28-3.44
In: 0.0000 0.5000 0.1328  2 Mg 2.93, 1 In 3.26
In: 0.0000 0.5000 0.5000  8 In 3.34-3.44, 4 Ce 3.35
Ce: 0.0000 0.0000 0.3124  12 In 3.28-3.44
In: 0.0000 0.5000 0.8672  2 Mg 2.93, 1 In 3.26
Mg: 0.0000 0.0000 0.0000  8 In 2.93
In: 0.5000 0.0000 0.8672  2 Mg 2.93, 1 In 3.26
In: 0.5000 0.0000 0.1328  2 Mg 2.93, 1 In 3.26
In: 0.5000 0.0000 0.5000  8 In 3.34-3.44, 4 Ce 3.35
In: 0.5000 0.5000 0.6865  8 In 3.29-3.34, 4 Ce 3.44


La2SmGe | PBE-GGA | relaxed

Cell: 4.2058 6.6390 9.5883 Å, 90.00 90.00 108.50°
Last column: nearest neighbours and their distance in Å.
Atoms (fractional coordinates):
La: 0.1444 0.2893 0.0565  3 Ge 3.15-3.18
La: 0.1444 0.2893 0.4435  3 Ge 3.15-3.18
La: 0.8556 0.7107 0.9435  3 Ge 3.15-3.18
Sm: 0.5706 0.1412 0.7500  2 Ge 3.01
Sm: 0.4294 0.8588 0.2500  2 Ge 3.01
Ge: 0.2419 0.4836 0.7500  2 Sm 3.01, 6 La 3.15-3.18
Ge: 0.7581 0.5164 0.2500  2 Sm 3.01, 6 La 3.15-3.18
La: 0.8556 0.7107 0.5565  3 Ge 3.15-3.18

Results
Energy above the most stable polymorph in this dataset   0.00 eV per formula unit


Pm12IrPb6 | PBE-GGA | relaxed

Cell: 8.8838 8.8838 8.8838 Å, 99.22 99.22 99.22°
Last column: nearest neighbours and their distance in Å.
Atoms (fractional coordinates):
Pb: 0.8793 0.3514 0.6844  7 Pm 3.21-3.37
Pb: 0.1207 0.6486 0.3156  7 Pm 3.21-3.37
Pb: 0.3156 0.1207 0.6486  7 Pm 3.21-3.37
Pm: 0.4235 0.5570 0.1975  4 Pb 3.21-3.32
Pm: 0.0062 0.6839 0.9450  1 Ir 2.78
Pb: 0.6486 0.3156 0.1207  7 Pm 3.21-3.37
Pm: 0.3161 0.0550 0.9938  1 Ir 2.78
Ir: 0.0000 0.0000 0.0000  6 Pm 2.78
Pb: 0.6844 0.8793 0.3514  7 Pm 3.21-3.37
Pm: 0.5570 0.1975 0.4235  4 Pb 3.21-3.32
Pm: 0.0550 0.9938 0.3161  1 Ir 2.78
Pb: 0.3514 0.6844 0.8793  7 Pm 3.21-3.37
Pm: 0.6839 0.9450 0.0062  1 Ir 2.78
Pm: 0.1975 0.4235 0.5570  4 Pb 3.21-3.32
Pm: 0.9938 0.3161 0.0550  1 Ir 2.78
Pm: 0.8025 0.5765 0.4430  4 Pb 3.21-3.32
Pm: 0.9450 0.0062 0.6839  1 Ir 2.78
Pm: 0.5765 0.4430 0.8025  4 Pb 3.21-3.32
Pm: 0.4430 0.8025 0.5765  4 Pb 3.21-3.32


HfH2Os | PBE-GGA | relaxed

Cell: 4.2241 4.2241 5.4885 Å, 67.37 67.37 90.00°
Last column: nearest neighbours and their distance in Å.
Atoms (fractional coordinates):
Hf: 0.5000 0.5000 0.0000  4 H 2.00
H: 0.6719 0.1250 0.2500  2 Os 1.78
Os: 0.0000 0.0000 0.0000  4 H 1.78
H: 0.0781 0.6250 0.2500  2 Os 1.78
H: 0.3750 0.3281 0.7500  2 Os 1.78
H: 0.8750 0.9219 0.7500  2 Os 1.78
Hf: 0.2500 0.7500 0.5000  4 H 2.00
Os: 0.7500 0.2500 0.5000  4 H 1.78

Results
Energy above the most stable polymorph in this dataset   0.00 eV per formula unit


LiFe3Mo | PBE-GGA | relaxed

Cell: 3.8393 3.8393 3.8393 Å, 90.00 90.00 90.00°
Last column: nearest neighbours and their distance in Å.
Atoms (fractional coordinates):
Fe: 0.5000 0.0000 0.0000  2 Li 1.92
Fe: 0.0000 0.5000 0.0000  2 Li 1.92
Li: 0.0000 0.0000 0.0000  6 Fe 1.92
Mo: 0.5000 0.5000 0.5000  12 Fe 2.71
Fe: 0.0000 0.0000 0.5000  2 Li 1.92

Results
Energy above the most stable polymorph in this dataset   0.00 eV per formula unit


Co2AgC2 | PBE-GGA | relaxed

Cell: 3.4086 3.4086 5.3976 Å, 71.59 71.59 90.00°
Last column: nearest neighbours and their distance in Å.
Atoms (fractional coordinates):
Co: 0.7500 0.2500 0.5000  4 C 1.91
C: 0.6616 0.6616 0.6767  4 Co 1.91
C: 0.3384 0.3384 0.3233  4 Co 1.91
Co: 0.2500 0.7500 0.5000  4 C 1.91
Ag: 0.0000 0.0000 0.0000  8 C 2.87, 8 Co 2.96

Results
Energy above the most stable polymorph in this dataset   0.00 eV per formula unit


Sm6Dy3Pu | PBE-GGA | relaxed

Cell: 5.8565 9.9440 11.8685 Å, 90.00 104.92 90.00°
Last column: nearest neighbours and their distance in Å.
Atoms (fractional coordinates):
Sm: 0.4753 0.8516 0.8847  3 Dy 3.31-3.49, 1 Pu 3.37, 2 Sm 3.55-3.63
Dy: 0.9288 0.3119 0.3145  7 Sm 3.31-3.61
Dy: 0.0712 0.6881 0.6855  7 Sm 3.31-3.61
Sm: 0.1268 0.9808 0.2588  1 Pu 2.97, 1 Dy 3.14
Sm: 0.4908 0.1842 0.4762  1 Pu 3.15, 2 Dy 3.45-3.48, 1 Sm 3.53
Sm: 0.9753 0.6484 0.3847  3 Dy 3.31-3.49, 1 Pu 3.37, 2 Sm 3.55-3.63
Dy: 0.5712 0.8119 0.1855  7 Sm 3.31-3.61
Dy: 0.4288 0.1881 0.8145  7 Sm 3.31-3.61
Sm: 0.0092 0.6842 0.0238  1 Pu 3.15, 2 Dy 3.45-3.48, 1 Sm 3.53
Sm: 0.5092 0.8158 0.5238  1 Pu 3.15, 2 Dy 3.45-3.48, 1 Sm 3.53
Sm: 0.9908 0.3158 0.9762  1 Pu 3.15, 2 Dy 3.45-3.48, 1 Sm 3.53
Pu: 0.5000 0.5000 0.5000  4 Sm 2.97-3.15
Pu: 0.0000 0.0000 0.0000  4 Sm 2.97-3.15
Sm: 0.0247 0.3516 0.6153  3 Dy 3.31-3.49, 1 Pu 3.37, 2 Sm 3.55-3.63
Sm: 0.5247 0.1484 0.1153  3 Dy 3.31-3.49, 1 Pu 3.37, 2 Sm 3.55-3.63
Dy: 0.5000 0.5000 0.0000  6 Sm 3.14-3.48
Dy: 0.0000 0.0000 0.5000  6 Sm 3.14-3.48
Sm: 0.3732 0.4808 0.2412  1 Pu 2.97, 1 Dy 3.14
Sm: 0.6268 0.5192 0.7588  1 Pu 2.97, 1 Dy 3.14
Sm: 0.8732 0.0192 0.7412  1 Pu 2.97, 1 Dy 3.14


CoAg2PtRh | PBE-GGA | relaxed

Cell: 4.6862 4.2634 4.6862 Å, 90.00 90.00 90.00°
Last column: nearest neighbours and their distance in Å.
Atoms (fractional coordinates):
Co: 0.0000 0.0000 0.0000  2 Rh 2.13, 4 Ag 2.34
Ag: 0.5000 0.0000 0.0000  2 Co 2.34
Rh: 0.0000 0.5000 0.0000  2 Co 2.13
Pt: 0.5000 0.5000 0.5000  8 Ag 3.17, 4 Rh 3.31
Ag: 0.0000 0.0000 0.5000  2 Co 2.34


Dy2Ge3Au2 | PBE-GGA | relaxed

Cell: 4.3701 7.0645 9.6712 Å, 90.00 103.06 90.00°
Last column: nearest neighbours and their distance in Å.
Atoms (fractional coordinates):
Dy: 0.0495 0.7500 0.0990  9 Ge 3.14-3.27
Ge: 0.5602 0.0680 0.1205  2 Ge 2.46-2.57, 1 Au 2.56
Ge: 0.4398 0.9320 0.8795  2 Ge 2.46-2.57, 1 Au 2.56
Au: 0.3108 0.0465 0.6215  4 Ge 2.56-2.70
Dy: 0.1525 0.2500 0.3051  6 Ge 3.07-3.24, 6 Au 3.10-3.31
Ge: 0.4398 0.5680 0.8795  2 Ge 2.46-2.57, 1 Au 2.56
Dy: 0.8475 0.7500 0.6949  6 Ge 3.07-3.24, 6 Au 3.10-3.31
Au: 0.6892 0.9535 0.3785  4 Ge 2.56-2.70
Au: 0.3108 0.4535 0.6215  4 Ge 2.56-2.70
Ge: 0.2205 0.7500 0.4410  6 Au 2.68-2.70
Dy: 0.9505 0.2500 0.9010  9 Ge 3.14-3.27
Ge: 0.7795 0.2500 0.5590  6 Au 2.68-2.70
Au: 0.6892 0.5465 0.3785  4 Ge 2.56-2.70
Ge: 0.5602 0.4320 0.1205  2 Ge 2.46-2.57, 1 Au 2.56


PuCoPt | PBE-GGA | relaxed

Cell: 5.1729 5.2572 5.2572 Å, 61.95 60.53 60.53°
Last column: nearest neighbours and their distance in Å.
Atoms (fractional coordinates):
Pu: 0.8781 0.3719 0.3719  6 Co 3.03-3.14, 6 Pt 3.05-3.10, 4 Pu 3.20-3.25
Pt: 0.5000 0.5000 0.0000  4 Co 2.63, 2 Pt 2.71
Co: 0.5000 0.0000 0.0000  2 Co 2.59, 4 Pt 2.63
Pu: 0.1219 0.6281 0.6281  6 Co 3.03-3.14, 6 Pt 3.05-3.10, 4 Pu 3.20-3.25
Pt: 0.5000 0.0000 0.5000  4 Co 2.63, 2 Pt 2.71
Co: 0.0000 0.0000 0.0000  2 Co 2.59, 4 Pt 2.63


MnHg4Sb | PBE-GGA | relaxed

Cell: 5.9577 5.9577 5.9577 Å, 60.00 60.00 60.00°
Last column: nearest neighbours and their distance in Å.
Atoms (fractional coordinates):
Sb: 0.0000 0.0000 0.0000  12 Hg 3.49, 4 Mn 3.65
Mn: 0.7500 0.7500 0.7500  12 Hg 3.49, 4 Sb 3.65
Hg: 0.3752 0.3752 0.8744  6 Hg 2.97-2.98
Hg: 0.3752 0.8744 0.3752  6 Hg 2.97-2.98
Hg: 0.8744 0.3752 0.3752  6 Hg 2.97-2.98
Hg: 0.3752 0.3752 0.3752  6 Hg 2.97-2.98


Electronic total energy values (in eV/atom) by entry order: -4.639; -3.498; -5.253; -4.963; -7.123; -6.635; -6.452; -5.397; -4.107; -4.852; -9.681; -1.932.